Entry 1:
The following is a PBE calculation of a relaxed structure of LaPm2Au, from Alexandria.

Summary:
symmetry	R3m (160)
DOS(E_F)	1.29	states/eV/atom
formation energy from the elements	-5.8	kcal/mol of atoms
E	-4.68	eV/atom
relative energy among the computed polymorphs	153	meV/atom

Unit cell a=10.361 b=10.361 c=10.361 alpha=21.58 beta=21.58 gamma=21.58
Positions (direct):
1 La 0.000 0.000 0.000
2 Pm 0.234 0.234 0.234
3 Pm 0.433 0.433 0.433
4 Au 0.834 0.834 0.834

Entry 2:
The following is a PBE calculation of a relaxed structure of HoUPt, from Alexandria.

Summary:
symmetry	I4/mmm (139)
DOS(E_F)	1.35	states/eV/atom
formation energy from the elements	-10.0	kcal/mol of atoms
E	-7.73	eV/atom

Unit cell a=10.104 b=10.104 c=10.104 alpha=158.52 beta=158.52 gamma=30.56
Positions (direct):
1 Ho 0.103 0.103 0.000
2 Ho 0.897 0.897 0.000
3 U 0.275 0.275 0.000
4 U 0.725 0.725 0.000
5 Pt 0.432 0.432 0.000
6 Pt 0.568 0.568 0.000

Entry 3:
The following is a PBE calculation of a relaxed structure of HfSiSnMo2, from Alexandria.

Summary:
symmetry	P4/mmm (123)
DOS(E_F)	0.87	states/eV/atom
E	-6.40	eV/atom
raw formation energy	1.804	eV per atom

Unit cell a=4.984 b=4.984 c=4.732 alpha=90.00 beta=90.00 gamma=90.00
Positions (direct):
1 Hf 0.000 0.000 0.000
2 Si 0.500 0.500 0.000
3 Sn 0.500 0.500 0.500
4 Mo 0.000 0.500 0.500
5 Mo 0.500 0.000 0.500

Entry 4:
The following is a PBE calculation of a relaxed structure of MgAg2GeS4, from Alexandria.

Summary:
symmetry	Pmn2_1 (31)
E	-4.08	eV/atom
raw formation energy	-0.530	eV per atom

Unit cell a=7.776 b=7.104 c=6.629 alpha=90.00 beta=90.00 gamma=90.00
Positions (direct):
1 Mg 0.000 0.147 0.000
2 Mg 0.500 0.853 0.500
3 Ag 0.243 0.325 0.522
4 Ag 0.257 0.675 0.022
5 Ag 0.743 0.675 0.022
6 Ag 0.757 0.325 0.522
7 Ge 0.000 0.830 0.506
8 Ge 0.500 0.170 0.006
9 S 0.000 0.121 0.375
10 S 0.000 0.834 0.845
11 S 0.237 0.671 0.403
12 S 0.263 0.329 0.903
13 S 0.500 0.166 0.345
14 S 0.500 0.879 0.875
15 S 0.737 0.329 0.903
16 S 0.763 0.671 0.403

Entry 5:
The following is a PBE calculation of a relaxed structure of La2InHgRu, from Alexandria.

Summary:
symmetry	P2_1/m (11)
DOS(E_F)	0.78	states/eV/atom
formation energy from the elements	-10.2	kcal/mol of atoms
E	-4.88	eV/atom
relative energy among the computed polymorphs	0	meV/atom

Unit cell a=8.358 b=4.169 c=8.494 alpha=90.00 beta=111.66 gamma=90.00
Positions (direct):
1 La 0.018 0.250 0.234
2 La 0.341 0.750 0.615
3 La 0.659 0.250 0.385
4 La 0.982 0.750 0.766
5 In 0.346 0.250 0.951
6 In 0.654 0.750 0.049
7 Hg 0.316 0.750 0.206
8 Hg 0.684 0.250 0.794
9 Ru 0.112 0.250 0.625
10 Ru 0.888 0.750 0.375

Entry 6:
The following is a PBE calculation of a relaxed structure of Tb3Ho2Co2, from Alexandria.

Summary:
symmetry	C2/m (12)
DOS(E_F)	0.98	states/eV/atom
formation energy from the elements	-3.7	kcal/mol of atoms
E	-5.48	eV/atom

Unit cell a=6.240 b=6.240 c=8.817 alpha=114.80 beta=114.80 gamma=34.27
Positions (direct):
1 Tb 0.000 0.000 0.000
2 Tb 0.117 0.117 0.427
3 Tb 0.883 0.883 0.573
4 Ho 0.327 0.327 0.194
5 Ho 0.673 0.673 0.806
6 Co 0.320 0.320 0.758
7 Co 0.680 0.680 0.242